DFT (GGA-PBE) results for a relaxed MnMoPb2 crystal.

Cell: 4.2453 3.7542 10.6177 Å, 90.00 90.00 90.00°
Space group Amm2 (No. 38)
Symmetry-distinct sites (fractional):
Mn: 0.0000 0.0000 0.0000 x2
Mo: 0.5000 0.0000 0.1326 x2
Pb: 0.0000 0.0000 0.7183 x2
Pb: 0.5000 0.0000 0.4161 x2

The energy above the most stable polymorph in this dataset comes out at 0.186 eV per atom. Its crystal system is orthorhombic. The formation enthalpy at 0 K comes out at 0.534 eV per atom.

---

DFT (GGA-PBE) results for a relaxed TaCuAg2 crystal.

Cell: 9.3384 2.7518 5.2220 Å, 90.00 98.05 90.00°
Space group Cm (No. 8)
Symmetry-distinct sites (fractional):
Ta: 0.0000 0.0000 0.0000 x2
Cu: 0.2437 0.5000 0.2205 x2
Ag: 0.2450 0.0000 0.7363 x2
Ag: 0.4888 0.0000 0.4822 x2

The energy above the most stable polymorph in this dataset comes out at 0.165 eV per atom. Its crystal system is monoclinic. The formation enthalpy at 0 K comes out at 0.331 eV per atom.

---

DFT (GGA-PBE) results for a relaxed Mn2Cd2Bi crystal.

Cell: 4.0063 4.0063 13.6309 Å, 90.00 90.00 90.00°
Space group I4/mmm (No. 139)
Symmetry-distinct sites (fractional):
Mn: 0.0000 0.0000 0.0931 x4
Cd: 0.0000 0.5000 0.2500 x4
Bi: 0.0000 0.0000 0.5000 x2

The energy above the most stable polymorph in this dataset comes out at 0.044 eV per atom. Its crystal system is tetragonal. The formation enthalpy at 0 K comes out at 0.418 eV per atom.

---

DFT (GGA-PBE) results for a relaxed Ce2YHo3Bi6 crystal.

Cell: 19.6528 4.5196 9.0187 Å, 90.00 103.19 90.00°
Space group C2/m (No. 12)
Symmetry-distinct sites (fractional):
Ce: 0.1656 0.0000 0.3317 x4
Y: 0.0000 0.5000 0.0000 x2
Ho: 0.0000 0.5000 0.5000 x2
Ho: 0.1671 0.0000 0.8341 x4
Bi: 0.0022 0.0000 0.7499 x4
Bi: 0.1652 0.5000 0.5876 x4
Bi: 0.1667 0.5000 0.0779 x4

Its crystal system is monoclinic. The formation enthalpy at 0 K comes out at -0.832 eV per atom.

---

DFT (GGA-PBE) results for a relaxed CaCrPd crystal.

Cell: 8.7149 7.0475 4.3225 Å, 90.00 114.70 90.00°
Space group C2 (No. 5)
Symmetry-distinct sites (fractional):
Ca: 0.1869 0.0000 0.4313 x4
Cr: 0.0662 0.6566 0.8836 x4
Pd: 0.1155 0.2988 0.8608 x4

The energy above the most stable polymorph in this dataset comes out at 0.144 eV per atom. Its crystal system is monoclinic. The formation enthalpy at 0 K comes out at 0.056 eV per atom.

---

DFT (GGA-PBE) results for a relaxed Pu3Np2Si2 crystal.

Cell: 13.5794 3.7007 12.3170 Å, 90.00 120.50 90.00°
Space group C2/m (No. 12)
Symmetry-distinct sites (fractional):
Pu: 0.1210 0.0000 0.4587 x4
Pu: 0.1353 0.5000 0.1077 x4
Pu: 0.2178 0.5000 0.8794 x4
Np: 0.0804 0.5000 0.3112 x4
Np: 0.0822 0.0000 0.6416 x4
Si: 0.0507 0.0000 0.8927 x4
Si: 0.2481 0.5000 0.6630 x4

Its crystal system is monoclinic. Its uncorrected formation energy is -0.17 eV per atom.

---

Values of Fermi-level density of states, in order: 6.8 5.6 7.8 26.7 8.0 62.8, all in states/eV per cell.